Record 1
The following is a PBE-GGA calculation of a relaxed structure of Y3Al2Pd3, from Alexandria via LeMat-Bulk.

a b c (Å): 8.2362 8.2362 5.6014
angles (deg): 90.00 90.00 120.00
Closest atoms and distances in Å follow each position.
Space group P6_3/mcm (No. 193)
Symmetry-distinct sites (fractional):
Y 0.0000 0.2635 0.2500 (multiplicity 6)  5 Pd 2.74-3.03
Al 0.3333 0.6667 0.0000 (multiplicity 4)  2 Al 2.80, 6 Pd 2.87
Pd 0.0000 0.4036 0.7500 (multiplicity 6)  5 Y 2.74-3.03, 4 Al 2.87

Fermi-level density of states = 9.6 states/eV per cell
Calculated total energy = -6.1047 eV per atom
Magnetization = 0.00 μB per formula unit



Record 2
The following is a PBE-GGA calculation of a relaxed structure of YAl2Pd2, from Alexandria via LeMat-Bulk.

a b c (Å): 7.7480 7.7480 2.8969
angles (deg): 90.00 90.00 90.00
Closest atoms and distances in Å follow each position.
Space group P4/mbm (No. 127)
Symmetry-distinct sites (fractional):
Y 0.0000 0.0000 0.0000 (multiplicity 2)  2 Y 2.90, 4 Al 3.07, 8 Pd 3.22
Al 0.1237 0.3763 0.0000 (multiplicity 4)  6 Pd 2.68-2.73, 3 Al 2.71-2.90
Pd 0.1706 0.6706 0.5000 (multiplicity 4)  6 Al 2.68-2.73, 2 Pd 2.90

Fermi-level density of states = 5.0 states/eV per cell
Calculated total energy = -5.5670 eV per atom
Magnetization = 0.31 μB per formula unit



Record 3
The following is a PBE-GGA calculation of a relaxed structure of Y4Al16Pd3, from Alexandria via LeMat-Bulk.

a b c (Å): 6.1894 6.1894 11.1846
angles (deg): 90.00 90.00 90.00
Closest atoms and distances in Å follow each position.
Space group P4/mmm (No. 123)
Symmetry-distinct sites (fractional):
Y 0.0000 0.5000 0.1887 (multiplicity 4)  12 Al 3.03-3.13
Al 0.0000 0.0000 0.1971 (multiplicity 2)  8 Al 2.89-2.92, 4 Y 3.10
Al 0.2133 0.2133 0.0000 (multiplicity 4)  1 Pd 2.51, 2 Al 2.64
Al 0.2431 0.2431 0.3762 (multiplicity 8)  2 Pd 2.59, 2 Al 2.77-2.79
Al 0.5000 0.5000 0.2281 (multiplicity 2)  1 Pd 2.55, 4 Al 2.79
Pd 0.0000 0.5000 0.5000 (multiplicity 2)  8 Al 2.59
Pd 0.5000 0.5000 0.0000 (multiplicity 1)  6 Al 2.51-2.55

Fermi-level density of states = 5.5 states/eV per cell
Calculated total energy = -4.9717 eV per atom
Magnetization = 0.00 μB per formula unit



Record 4
The following is a PBE-GGA calculation of a relaxed structure of YAlPd2, from Alexandria via LeMat-Bulk.

a b c (Å): 7.3288 7.0957 5.7465
angles (deg): 90.00 90.00 90.00
Closest atoms and distances in Å follow each position.
Space group Pnma (No. 62)
Symmetry-distinct sites (fractional):
Y 0.0284 0.2500 0.1494 (multiplicity 4)  8 Pd 3.03-3.21, 3 Al 3.05-3.12
Al 0.1151 0.7500 0.3527 (multiplicity 4)  6 Pd 2.55-2.62
Pd 0.1826 0.0512 0.5885 (multiplicity 8)  3 Al 2.55-2.62, 1 Pd 2.82

Fermi-level density of states = 10.0 states/eV per cell
Calculated total energy = -6.0712 eV per atom
Magnetization = 0.00 μB per formula unit



Record 5
The following is a PBE-GGA calculation of a relaxed structure of YAlPd2, from Alexandria via LeMat-Bulk.

a b c (Å): 4.6557 4.6557 16.4306
angles (deg): 90.00 90.00 90.00
Closest atoms and distances in Å follow each position.
Space group I-42d (No. 122)
Symmetry-distinct sites (fractional):
Y 0.0000 0.0000 0.0000 (multiplicity 4)  4 Pd 2.85
Al 0.0000 0.0000 0.5000 (multiplicity 4)  4 Pd 2.47
Pd 0.1558 0.2500 0.6250 (multiplicity 8)  2 Al 2.47, 2 Pd 2.74

Fermi-level density of states = 14.9 states/eV per cell
Calculated total energy = -5.5444 eV per atom
Magnetization = 0.00 μB per formula unit



Record 6
The following is a PBE-GGA calculation of a relaxed structure of Y3Al7Pd4, from Alexandria via LeMat-Bulk.

a b c (Å): 15.7317 4.2844 9.4354
angles (deg): 90.00 125.09 90.00
Closest atoms and distances in Å follow each position.
Space group C2/m (No. 12)
Symmetry-distinct sites (fractional):
Y 0.0000 0.0000 0.0000 (multiplicity 2)  6 Pd 2.99-3.23, 2 Al 3.25
Y 0.1920 0.5000 0.6938 (multiplicity 4)  4 Pd 3.06-3.12, 10 Al 3.08-3.27
Al 0.0000 0.0000 0.5000 (multiplicity 2)  2 Pd 2.64, 6 Al 2.86-2.92
Al 0.0038 0.5000 0.2939 (multiplicity 4)  3 Pd 2.53-2.67, 1 Al 2.73
Al 0.1500 0.0000 0.4209 (multiplicity 4)  3 Pd 2.56-2.65, 3 Al 2.85-2.86
Al 0.1805 0.5000 0.0265 (multiplicity 4)  4 Pd 2.57-2.64, 1 Al 2.73
Pd 0.1188 0.0000 0.8418 (multiplicity 4)  6 Al 2.57-2.67
Pd 0.1620 0.5000 0.2856 (multiplicity 4)  5 Al 2.53-2.65

Fermi-level density of states = 14.0 states/eV per cell
Calculated total energy = -5.5436 eV per atom
Magnetization = 0.00 μB per formula unit



Record 7
The following is a PBE-GGA calculation of a relaxed structure of Y2AlPd3, from Alexandria via LeMat-Bulk.

a b c (Å): 5.6036 5.6036 8.4137
angles (deg): 90.00 90.00 120.00
Closest atoms and distances in Å follow each position.
Space group P6_3/mmc (No. 194)
Symmetry-distinct sites (fractional):
Y 0.3333 0.6667 0.0552 (multiplicity 4)  9 Pd 3.03-3.25, 3 Al 3.27, 4 Y 3.28-3.37
Al 0.0000 0.0000 0.0000 (multiplicity 2)  6 Pd 2.66
Pd 0.1673 0.3345 0.7500 (multiplicity 6)  2 Al 2.66, 4 Pd 2.79-2.81

Fermi-level density of states = 9.9 states/eV per cell
Calculated total energy = -6.2525 eV per atom
Magnetization = 0.00 μB per formula unit



Record 8
The following is a PBE-GGA calculation of a relaxed structure of Y2Al5Pd3, from Alexandria via LeMat-Bulk.

a b c (Å): 4.3508 25.1790 6.7079
angles (deg): 90.00 90.00 90.00
Closest atoms and distances in Å follow each position.
Space group Cmc2_1 (No. 36)
Symmetry-distinct sites (fractional):
Y 0.0000 0.0175 0.0000 (multiplicity 4)  5 Pd 2.86-3.13, 6 Al 3.08-3.20
Y 0.0000 0.3254 0.0304 (multiplicity 4)  9 Al 3.05-3.23, 4 Pd 3.09-3.30
Al 0.0000 0.1023 0.3452 (multiplicity 4)  3 Pd 2.56-2.66, 1 Al 2.82
Al 0.0000 0.2074 0.8410 (multiplicity 4)  4 Pd 2.59-2.61, 1 Al 2.70
Al 0.0000 0.2109 0.2429 (multiplicity 4)  3 Pd 2.56-2.58, 2 Al 2.70-2.82
Al 0.0000 0.3737 0.5084 (multiplicity 4)  2 Pd 2.54-2.65
Al 0.0000 0.4455 0.1790 (multiplicity 4)  4 Pd 2.59-2.75, 1 Al 2.85
Pd 0.0000 0.1079 0.7414 (multiplicity 4)  6 Al 2.59-2.86, 1 Y 2.86
Pd 0.0000 0.2733 0.5446 (multiplicity 4)  7 Al 2.54-2.61
Pd 0.0000 0.4491 0.7847 (multiplicity 4)  5 Al 2.56-2.75

Fermi-level density of states = 20.3 states/eV per cell
Calculated total energy = -5.5150 eV per atom
Magnetization = 0.00 μB per formula unit